Crystalline TaAgAu2 at its relaxed geometry. Source: the Alexandria database, functional PBE.

Properties
Space group: P4/mmm
ΔH_f (0 K) in eV/atom: -0.047

Unit cell a=2.9590 b=2.9590 c=8.1549 alpha=90.00 beta=90.00 gamma=89.99
With the nearest neighbours (Å) after each atom.
Sites, in units of the cell vectors:
Au (0.0000, 0.0000, 0.0085)  4 Ta 2.87, 4 Au 2.96, 4 Ag 2.97
Au (0.0000, 0.0000, 0.4915)  4 Ta 2.87, 4 Au 2.96, 4 Ag 2.97
Ta (0.5000, 0.5000, 0.2500)  8 Au 2.87, 4 Ta 2.96
Ag (0.5000, 0.5000, 0.7500)  4 Ag 2.96, 8 Au 2.97